# 1
Entry from Alexandria via LeMat-Bulk: Ac6Tb2Nd3 after structural relaxation (PBE).

abc: 6.6318 8.5636 15.7727
angles: 49.50 60.58 97.35
With the nearest neighbours (Å) after each atom.
Fractional positions:
Ac 0.0873 0.6352 0.7344  3 Tb 3.71-3.84, 3 Nd 3.76-3.95, 6 Ac 3.82-3.93
Nd 0.0000 0.0000 0.0000  2 Nd 3.79, 8 Ac 3.79-3.89, 2 Tb 3.82
Tb 0.3548 0.5402 0.9132  7 Ac 3.71-3.91, 3 Nd 3.76-3.82, 2 Tb 3.77-3.84
Nd 0.4493 0.1709 0.6438  8 Ac 3.76-3.95, 2 Tb 3.76-3.79, 2 Nd 3.79-3.95
Ac 0.2659 0.9157 0.1807  2 Tb 3.77-3.82, 5 Nd 3.77-3.89, 5 Ac 3.80-3.93
Ac 0.7341 0.0843 0.8193  2 Tb 3.77-3.82, 5 Nd 3.77-3.89, 5 Ac 3.80-3.93
Ac 0.9127 0.3648 0.2656  3 Tb 3.71-3.84, 3 Nd 3.76-3.95, 6 Ac 3.82-3.93
Tb 0.6452 0.4598 0.0868  7 Ac 3.71-3.91, 3 Nd 3.76-3.82, 2 Tb 3.77-3.84
Nd 0.5507 0.8291 0.3562  8 Ac 3.76-3.95, 2 Tb 3.76-3.79, 2 Nd 3.79-3.95
Ac 0.8148 0.7192 0.5490  6 Ac 3.80-3.89, 4 Nd 3.81-3.89, 2 Tb 3.85-3.91
Ac 0.1852 0.2808 0.4510  6 Ac 3.80-3.89, 4 Nd 3.81-3.89, 2 Tb 3.85-3.91

# 2
Entry from Alexandria via LeMat-Bulk: Ac2Tb4Nd3 after structural relaxation (PBE).

abc: 6.4095 8.2809 6.3807
angles: 104.94 80.52 97.78
With the nearest neighbours (Å) after each atom.
Fractional positions:
Tb 0.5538 0.1116 0.7768  5 Nd 3.65-3.71, 4 Tb 3.67-3.71, 3 Ac 3.67-3.68
Nd 0.0000 0.0000 0.0000  4 Nd 3.63-3.71, 2 Ac 3.67, 6 Tb 3.69-3.71
Ac 0.3289 0.6698 0.6703  7 Tb 3.66-3.72, 4 Nd 3.67-3.74, 1 Ac 3.79
Tb 0.2262 0.4441 0.1062  4 Tb 3.64-3.71, 4 Nd 3.64-3.77, 4 Ac 3.66-3.72
Nd 0.8890 0.7825 0.4391  3 Nd 3.63-3.71, 6 Tb 3.64-3.77, 3 Ac 3.71-3.74
Nd 0.1110 0.2175 0.5609  3 Nd 3.63-3.71, 6 Tb 3.64-3.77, 3 Ac 3.71-3.74
Tb 0.7738 0.5559 0.8938  4 Tb 3.64-3.71, 4 Nd 3.64-3.77, 4 Ac 3.66-3.72
Ac 0.6711 0.3302 0.3297  7 Tb 3.66-3.72, 4 Nd 3.67-3.74, 1 Ac 3.79
Tb 0.4462 0.8884 0.2232  5 Nd 3.65-3.71, 4 Tb 3.67-3.71, 3 Ac 3.67-3.68

# 3
Entry from Alexandria via LeMat-Bulk: Ac5Tb2Nd12 after structural relaxation (PBE).

abc: 7.3968 9.0451 12.1346
angles: 109.54 107.74 90.00
With the nearest neighbours (Å) after each atom.
Fractional positions:
Ac 0.3487 0.9117 0.6974  9 Nd 3.55-3.74, 1 Ac 3.75, 2 Tb 3.76
Nd 0.5466 0.6915 0.0931  3 Nd 3.38-3.78, 1 Ac 3.55, 2 Tb 3.78
Tb 0.2577 0.0000 0.0000  6 Nd 3.42-3.78, 2 Tb 3.58-3.81, 2 Ac 3.76
Nd 0.8432 0.3762 0.2101  1 Tb 3.42, 4 Nd 3.52-3.82, 4 Ac 3.58-3.68
Nd 0.6331 0.6238 0.7899  1 Tb 3.42, 4 Nd 3.52-3.82, 4 Ac 3.58-3.68
Tb 0.7423 0.0000 0.0000  6 Nd 3.42-3.78, 2 Tb 3.58-3.81, 2 Ac 3.76
Nd 0.5481 0.2104 0.6020  7 Nd 3.61-3.92, 4 Ac 3.67-3.77
Ac 0.7546 0.5138 0.5091  9 Nd 3.61-3.80, 3 Ac 3.71-3.75
Nd 0.0539 0.2104 0.6020  7 Nd 3.61-3.92, 4 Ac 3.67-3.77
Nd 0.4519 0.7896 0.3980  7 Nd 3.61-3.92, 4 Ac 3.67-3.77
Ac 0.6513 0.0883 0.3026  9 Nd 3.55-3.74, 1 Ac 3.75, 2 Tb 3.76
Nd 0.4534 0.3085 0.9069  3 Nd 3.38-3.78, 1 Ac 3.55, 2 Tb 3.78
Nd 0.9461 0.7896 0.3980  7 Nd 3.61-3.92, 4 Ac 3.67-3.77
Nd 0.1408 0.0543 0.2817  6 Nd 3.65-3.92, 2 Tb 3.65, 3 Ac 3.71-3.80
Nd 0.8592 0.9457 0.7183  6 Nd 3.65-3.92, 2 Tb 3.65, 3 Ac 3.71-3.80
Nd 0.3669 0.3762 0.2101  1 Tb 3.42, 4 Nd 3.52-3.82, 4 Ac 3.58-3.68
Ac 0.0000 0.5000 0.0000  4 Nd 3.58
Ac 0.2454 0.4862 0.4909  9 Nd 3.61-3.80, 3 Ac 3.71-3.75
Nd 0.1568 0.6238 0.7899  1 Tb 3.42, 4 Nd 3.52-3.82, 4 Ac 3.58-3.68

# 4
Entry from Alexandria via LeMat-Bulk: Ac2Tb6Nd after structural relaxation (PBE).

abc: 5.8078 6.7474 9.3593
angles: 67.16 108.08 90.00
With the nearest neighbours (Å) after each atom.
Fractional positions:
Tb 0.0316 0.2062 0.0631  5 Tb 3.37-3.65, 2 Nd 3.43, 2 Ac 3.69
Tb 0.2508 0.8559 0.5015  7 Tb 3.49-3.64, 3 Ac 3.69-3.79
Nd 0.5000 0.5000 0.0000  4 Tb 3.43, 2 Ac 3.69
Tb 0.9684 0.7938 0.9369  5 Tb 3.37-3.65, 2 Nd 3.43, 2 Ac 3.69
Tb 0.8317 0.5558 0.6634  6 Tb 3.37-3.63, 1 Ac 3.53
Tb 0.1683 0.4442 0.3366  6 Tb 3.37-3.63, 1 Ac 3.53
Ac 0.3841 0.1548 0.7681  8 Tb 3.53-3.82, 1 Nd 3.69, 1 Ac 3.79
Tb 0.7492 0.1441 0.4985  7 Tb 3.49-3.64, 3 Ac 3.69-3.79
Ac 0.6159 0.8452 0.2319  8 Tb 3.53-3.82, 1 Nd 3.69, 1 Ac 3.79

Number 1: E -0.3189 Ry/atom, D(E_F) 18.61 states/eV/cell. Number 2: E -0.3323 Ry/atom, D(E_F) 13.71 states/eV/cell. Number 3: E -0.3258 Ry/atom, D(E_F) 29.95 states/eV/cell. Number 4: E -0.3251 Ry/atom, D(E_F) 16.72 states/eV/cell.